First-principles (PBE-GGA) data for ZnCu2B after structural relaxation, as listed in OQMD.

Energy: -3.353 eV per atom
SG: F-43m

Cell: 3.968 3.968 3.968 Å, 60.00 60.00 60.00°
Fractional positions:
1 Zn 0.000 0.000 0.000
2 Cu 0.500 0.500 0.500
3 Cu 0.750 0.750 0.750
4 B 0.250 0.250 0.250

First-principles (PBE-GGA) data for ZnCu2B after structural relaxation, as listed in OQMD.

Energy: -3.479 eV per atom
SG: Pm-3m

Cell: 5.588 5.588 5.588 Å, 90.00 90.00 90.00°
Fractional positions:
1 Zn 0.000 0.000 0.000
2 Zn 0.000 0.000 0.500
3 Zn 0.000 0.500 0.000
4 Zn 0.500 0.000 0.000
5 Cu 0.276 0.276 0.276
6 Cu 0.276 0.276 0.724
7 Cu 0.276 0.724 0.276
8 Cu 0.276 0.724 0.724
9 Cu 0.724 0.276 0.276
10 Cu 0.724 0.276 0.724
11 Cu 0.724 0.724 0.276
12 Cu 0.724 0.724 0.724
13 B 0.000 0.500 0.500
14 B 0.500 0.000 0.500
15 B 0.500 0.500 0.000
16 B 0.500 0.500 0.500

First-principles (PBE-GGA) data for ZnCuB4 after structural relaxation, as listed in OQMD.

Energy: -4.948 eV per atom
SG: Immm

Cell: 4.549 4.549 4.549 Å, 141.35 109.87 83.06°
Fractional positions:
1 Zn 0.000 0.000 0.000
2 Cu 0.500 0.500 0.000
3 B 0.083 0.749 0.334
4 B 0.416 0.749 0.666
5 B 0.584 0.251 0.334
6 B 0.917 0.251 0.666

First-principles (PBE-GGA) data for ZnCu2B after structural relaxation, as listed in OQMD.

Energy: -3.479 eV per atom
SG: Pm-3m

Cell: 5.590 5.590 5.590 Å, 90.00 90.00 90.00°
Fractional positions:
1 Zn 0.000 0.000 0.000
2 Zn 0.000 0.000 0.500
3 Zn 0.000 0.500 0.000
4 Zn 0.500 0.000 0.000
5 Cu 0.275 0.275 0.275
6 Cu 0.275 0.275 0.725
7 Cu 0.275 0.725 0.275
8 Cu 0.275 0.725 0.725
9 Cu 0.725 0.275 0.275
10 Cu 0.725 0.275 0.725
11 Cu 0.725 0.725 0.275
12 Cu 0.725 0.725 0.725
13 B 0.000 0.500 0.500
14 B 0.500 0.000 0.500
15 B 0.500 0.500 0.000
16 B 0.500 0.500 0.500

What is the energy in the second record? -3.479 eV per atom